# 1
Here is crystalline Ir2Os at its relaxed geometry from the Alexandria database. Energies are from PBEsol.

M_tot (μB per atom): 0.000
Crystal system: tetragonal
Energy above the most stable polymorph in this dataset (meV/atom): 19

Lattice parameters (Å, degrees): 11.801 11.801 11.801 161.34 161.34 26.50
Sites, in units of the cell vectors:
Ir1 0.041 0.791 0.250
Ir2 0.123 0.373 0.750
Ir3 0.209 0.959 0.250
Ir4 0.373 0.123 0.250
Ir5 0.627 0.877 0.750
Ir6 0.791 0.041 0.750
Ir7 0.877 0.627 0.250
Ir8 0.959 0.209 0.750
Os1 0.290 0.540 0.750
Os2 0.460 0.710 0.750
Os3 0.540 0.290 0.250
Os4 0.710 0.460 0.250

=====

# 2
Here is crystalline IrOs5 at its relaxed geometry from the Alexandria database. Energies are from PBEsol.

M_tot (μB per atom): 0.000
Crystal system: monoclinic
Energy above the most stable polymorph in this dataset (meV/atom): 8

Lattice parameters (Å, degrees): 5.111 5.111 6.408 103.25 103.25 30.94
Sites, in units of the cell vectors:
Ir1 0.000 0.000 0.000
Os1 0.055 0.055 0.611
Os2 0.332 0.332 0.664
Os3 0.388 0.388 0.279
Os4 0.667 0.667 0.336
Os5 0.723 0.723 0.944

=====

# 3
Here is crystalline IrOs at its relaxed geometry from the Alexandria database. Energies are from PBEsol.

Calculated total energy (eV/cell): -43.99
M_tot (μB per atom): 0.000
Crystal system: orthorhombic

Lattice parameters (Å, degrees): 4.338 2.723 4.733 90.00 90.00 90.00
Sites, in units of the cell vectors:
Ir1 0.250 0.000 0.165
Ir2 0.750 0.000 0.835
Os1 0.250 0.500 0.665
Os2 0.750 0.500 0.335

=====

# 4
Here is crystalline IrOs at its relaxed geometry from the Alexandria database. Energies are from PBEsol.

Calculated total energy (eV/cell): -21.98
M_tot (μB per atom): 0.000
Crystal system: hexagonal

Lattice parameters (Å, degrees): 2.722 2.722 4.360 90.00 90.00 120.00
Sites, in units of the cell vectors:
Ir1 0.000 0.000 0.000
Os1 0.667 0.333 0.500

=====

# 5
Here is crystalline IrOs2 at its relaxed geometry from the Alexandria database. Energies are from PBEsol.

M_tot (μB per atom): 0.000
Crystal system: monoclinic
Energy above the most stable polymorph in this dataset (meV/atom): 13

Lattice parameters (Å, degrees): 5.117 5.117 6.413 103.32 103.32 30.90
Sites, in units of the cell vectors:
Ir1 0.000 0.000 0.000
Ir2 0.670 0.670 0.340
Os1 0.056 0.056 0.615
Os2 0.334 0.334 0.669
Os3 0.391 0.391 0.281
Os4 0.724 0.724 0.947

=====

# 6
Here is crystalline IrOs5 at its relaxed geometry from the Alexandria database. Energies are from PBEsol.

M_tot (μB per atom): 0.000
Crystal system: hexagonal
Energy above the most stable polymorph in this dataset (meV/atom): 0

Lattice parameters (Å, degrees): 4.733 4.733 4.317 90.00 90.00 120.00
Sites, in units of the cell vectors:
Ir1 0.000 0.000 0.000
Os1 0.000 0.334 0.500
Os2 0.333 0.667 0.000
Os3 0.334 0.000 0.500
Os4 0.666 0.666 0.500
Os5 0.667 0.333 0.000

=====

# 7
Here is crystalline Ir5Os at its relaxed geometry from the Alexandria database. Energies are from PBEsol.

M_tot (μB per atom): 0.000
Crystal system: monoclinic
Energy above the most stable polymorph in this dataset (meV/atom): 49

Lattice parameters (Å, degrees): 5.162 5.162 6.430 104.05 104.05 30.63
Sites, in units of the cell vectors:
Ir1 0.000 0.000 0.000
Ir2 0.055 0.055 0.605
Ir3 0.335 0.335 0.665
Ir4 0.670 0.670 0.331
Ir5 0.726 0.726 0.947
Os1 0.391 0.391 0.277

=====

# 8
Here is crystalline Ir2Os at its relaxed geometry from the Alexandria database. Energies are from PBEsol.

M_tot (μB per atom): 0.000
Crystal system: monoclinic
Energy above the most stable polymorph in this dataset (meV/atom): 37

Lattice parameters (Å, degrees): 5.146 5.146 6.419 103.72 103.72 30.73
Sites, in units of the cell vectors:
Ir1 0.000 0.000 0.000
Ir2 0.055 0.055 0.609
Ir3 0.332 0.332 0.668
Ir4 0.668 0.668 0.332
Os1 0.387 0.387 0.274
Os2 0.724 0.724 0.948

=====

# 9
Here is crystalline Ir2Os at its relaxed geometry from the Alexandria database. Energies are from PBEsol.

M_tot (μB per atom): 0.000
Crystal system: trigonal
Energy above the most stable polymorph in this dataset (meV/atom): 19

Lattice parameters (Å, degrees): 2.705 2.705 6.647 90.00 90.00 120.00
Sites, in units of the cell vectors:
Ir1 0.333 0.667 0.171
Ir2 0.667 0.333 0.829
Os1 0.000 0.000 0.500

=====

# 10
Here is crystalline Ir2Os at its relaxed geometry from the Alexandria database. Energies are from PBEsol.

M_tot (μB per atom): 0.000
Crystal system: orthorhombic
Energy above the most stable polymorph in this dataset (meV/atom): 1146

Lattice parameters (Å, degrees): 4.643 5.965 3.906 90.00 90.00 90.00
Sites, in units of the cell vectors:
Ir1 0.206 0.116 0.000
Ir2 0.294 0.616 0.500
Ir3 0.706 0.384 0.500
Ir4 0.794 0.884 0.000
Os1 0.000 0.500 0.000
Os2 0.500 0.000 0.500

=====

# 11
Here is crystalline IrOs2 at its relaxed geometry from the Alexandria database. Energies are from PBEsol.

M_tot (μB per atom): 0.000
Crystal system: orthorhombic
Energy above the most stable polymorph in this dataset (meV/atom): 74

Lattice parameters (Å, degrees): 6.039 6.039 3.827 90.00 90.00 143.00
Sites, in units of the cell vectors:
Ir1 0.084 0.916 0.750
Ir2 0.916 0.084 0.250
Os1 0.248 0.752 0.250
Os2 0.415 0.585 0.750
Os3 0.585 0.415 0.250
Os4 0.752 0.248 0.750

=====

# 12
Here is crystalline IrOs2 at its relaxed geometry from the Alexandria database. Energies are from PBEsol.

M_tot (μB per atom): 0.000
Crystal system: trigonal
Energy above the most stable polymorph in this dataset (meV/atom): 70

Lattice parameters (Å, degrees): 2.704 2.704 6.631 90.00 90.00 120.00
Sites, in units of the cell vectors:
Ir1 0.000 0.000 0.000
Os1 0.333 0.667 0.662
Os2 0.667 0.333 0.338